Entry 1:
The following is a DFT calculation (PBE) of a geometry-optimized Tm4GeTe2C structure.

Results
Calculated density ... 8.8 g cm⁻³
Total energy ... -45.62 eV/cell
Density of states at the Fermi level ... 1.04 states/eV per cell

The structure in CIF format:
```
data_Tm4GeTe2C
_symmetry_space_group_name_H-M 'P 1'
_symmetry_Int_Tables_number 1
_cell_length_a 6.987
_cell_length_b 3.957
_cell_length_c 7.321
_cell_angle_alpha 90.00
_cell_angle_beta 108.22
_cell_angle_gamma 90.00
loop_
_symmetry_equiv_pos_as_xyz
'x,y,z'
loop_
_atom_site_label
_atom_site_type_symbol
_atom_site_fract_x
_atom_site_fract_y
_atom_site_fract_z
Tm1 Tm 0.213 0.000 0.195
Tm2 Tm 0.238 0.500 0.796
Tm3 Tm 0.762 0.500 0.204
Tm4 Tm 0.787 0.000 0.805
Ge1 Ge 0.500 0.000 0.000
Te1 Te 0.000 0.000 0.500
Te2 Te 0.500 0.500 0.500
C1 C 0.000 0.500 0.000
```

Entry 2:
The following is a DFT calculation (PBE) of a geometry-optimized Th7Ge2C2 structure.

Results
Calculated density ... 8.8 g cm⁻³
Total energy ... -79.73 eV/cell
Calculated formation energy ... -0.1 eV/f.u.
Density of states at the Fermi level ... 12.34 states/eV per cell

The structure in CIF format:
```
data_Th7Ge2C2
_symmetry_space_group_name_H-M 'P 1'
_symmetry_Int_Tables_number 1
_cell_length_a 7.033
_cell_length_b 7.033
_cell_length_c 7.392
_cell_angle_alpha 94.70
_cell_angle_beta 94.70
_cell_angle_gamma 111.06
loop_
_symmetry_equiv_pos_as_xyz
'x,y,z'
loop_
_atom_site_label
_atom_site_type_symbol
_atom_site_fract_x
_atom_site_fract_y
_atom_site_fract_z
Th1 Th 0.000 0.000 0.000
Th2 Th 0.072 0.471 0.781
Th3 Th 0.406 0.406 0.212
Th4 Th 0.471 0.072 0.781
Th5 Th 0.529 0.928 0.219
Th6 Th 0.594 0.594 0.788
Th7 Th 0.928 0.529 0.219
Ge1 Ge 0.304 0.696 0.500
Ge2 Ge 0.696 0.304 0.500
C1 C 0.297 0.297 0.880
C2 C 0.703 0.703 0.120
```

Entry 3:
The following is a DFT calculation (PBE) of a geometry-optimized Th2GeC structure.

Results
Calculated density ... 10.1 g cm⁻³
Total energy ... -60.91 eV/cell
Calculated formation energy ... -1.8 eV/f.u.
Density of states at the Fermi level ... 4.01 states/eV per cell

The structure in CIF format:
```
data_Th2GeC
_symmetry_space_group_name_H-M 'P 1'
_symmetry_Int_Tables_number 1
_cell_length_a 11.279
_cell_length_b 11.279
_cell_length_c 4.010
_cell_angle_alpha 90.00
_cell_angle_beta 90.00
_cell_angle_gamma 159.35
loop_
_symmetry_equiv_pos_as_xyz
'x,y,z'
loop_
_atom_site_label
_atom_site_type_symbol
_atom_site_fract_x
_atom_site_fract_y
_atom_site_fract_z
Th1 Th 0.083 0.917 0.750
Th2 Th 0.305 0.695 0.750
Th3 Th 0.695 0.305 0.250
Th4 Th 0.917 0.083 0.250
Ge1 Ge 0.461 0.539 0.750
Ge2 Ge 0.539 0.461 0.250
C1 C 0.194 0.806 0.750
C2 C 0.806 0.194 0.250
```

Entry 4:
The following is a DFT calculation (PBE) of a geometry-optimized Th2GeC structure.

Results
Calculated density ... 8.9 g cm⁻³
Total energy ... -28.72 eV/cell
Calculated formation energy ... 0.0 eV/f.u.
Density of states at the Fermi level ... 3.14 states/eV per cell

The structure in CIF format:
```
data_Th2GeC
_symmetry_space_group_name_H-M 'P 1'
_symmetry_Int_Tables_number 1
_cell_length_a 9.406
_cell_length_b 9.406
_cell_length_c 9.406
_cell_angle_alpha 21.94
_cell_angle_beta 21.94
_cell_angle_gamma 21.94
loop_
_symmetry_equiv_pos_as_xyz
'x,y,z'
loop_
_atom_site_label
_atom_site_type_symbol
_atom_site_fract_x
_atom_site_fract_y
_atom_site_fract_z
Th1 Th 0.112 0.112 0.112
Th2 Th 0.888 0.888 0.888
Ge1 Ge 0.000 0.000 0.000
C1 C 0.500 0.500 0.500
```

Entry 5:
The following is a DFT calculation (PBE) of a geometry-optimized Th6GeC4 structure.

Results
Calculated density ... 10.5 g cm⁻³
Total energy ... -180.65 eV/cell
Calculated formation energy ... -4.3 eV/f.u.
Density of states at the Fermi level ... 12.82 states/eV per cell

The structure in CIF format:
```
data_Th6GeC4
_symmetry_space_group_name_H-M 'P 1'
_symmetry_Int_Tables_number 1
_cell_length_a 6.573
_cell_length_b 6.573
_cell_length_c 19.754
_cell_angle_alpha 90.00
_cell_angle_beta 90.00
_cell_angle_gamma 145.80
loop_
_symmetry_equiv_pos_as_xyz
'x,y,z'
loop_
_atom_site_label
_atom_site_type_symbol
_atom_site_fract_x
_atom_site_fract_y
_atom_site_fract_z
Th1 Th 0.000 0.000 0.000
Th2 Th 0.000 0.000 0.500
Th3 Th 0.150 0.850 0.750
Th4 Th 0.276 0.724 0.079
Th5 Th 0.276 0.724 0.421
Th6 Th 0.455 0.545 0.652
Th7 Th 0.455 0.545 0.848
Th8 Th 0.545 0.455 0.152
Th9 Th 0.545 0.455 0.348
Th10 Th 0.724 0.276 0.579
Th11 Th 0.724 0.276 0.921
Th12 Th 0.850 0.150 0.250
Ge1 Ge 0.166 0.834 0.250
Ge2 Ge 0.834 0.166 0.750
C1 C 0.084 0.916 0.627
C2 C 0.084 0.916 0.873
C3 C 0.359 0.641 0.540
C4 C 0.359 0.641 0.960
C5 C 0.641 0.359 0.040
C6 C 0.641 0.359 0.460
C7 C 0.916 0.084 0.127
C8 C 0.916 0.084 0.373
```

Entry 6:
The following is a DFT calculation (PBE) of a geometry-optimized Th4Ge2C structure.

Results
Calculated density ... 9.7 g cm⁻³
Total energy ... -101.59 eV/cell
Calculated formation energy ... -2.7 eV/f.u.
Polymorph energy (0 for the lowest one) ... 0.0 meV per atom
Density of states at the Fermi level ... 15.62 states/eV per cell

The structure in CIF format:
```
data_Th4Ge2C
_symmetry_space_group_name_H-M 'P 1'
_symmetry_Int_Tables_number 1
_cell_length_a 7.076
_cell_length_b 6.507
_cell_length_c 8.451
_cell_angle_alpha 90.00
_cell_angle_beta 107.26
_cell_angle_gamma 90.00
loop_
_symmetry_equiv_pos_as_xyz
'x,y,z'
loop_
_atom_site_label
_atom_site_type_symbol
_atom_site_fract_x
_atom_site_fract_y
_atom_site_fract_z
Th1 Th 0.002 0.009 0.252
Th2 Th 0.002 0.491 0.252
Th3 Th 0.414 0.250 0.094
Th4 Th 0.414 0.250 0.611
Th5 Th 0.586 0.750 0.389
Th6 Th 0.586 0.750 0.906
Th7 Th 0.998 0.509 0.748
Th8 Th 0.998 0.991 0.748
Ge1 Ge 0.246 0.750 0.064
Ge2 Ge 0.257 0.750 0.563
Ge3 Ge 0.743 0.250 0.437
Ge4 Ge 0.754 0.250 0.936
C1 C 0.236 0.250 0.809
C2 C 0.764 0.750 0.191
```

Entry 7:
The following is a DFT calculation (PBE) of a geometry-optimized Th4GeC structure.

Results
Calculated density ... 9.6 g cm⁻³
Total energy ... -88.59 eV/cell
Calculated formation energy ... -0.8 eV/f.u.
Density of states at the Fermi level ... 15.14 states/eV per cell

The structure in CIF format:
```
data_Th4GeC
_symmetry_space_group_name_H-M 'P 1'
_symmetry_Int_Tables_number 1
_cell_length_a 7.709
_cell_length_b 7.709
_cell_length_c 7.709
_cell_angle_alpha 106.62
_cell_angle_beta 106.62
_cell_angle_gamma 115.34
loop_
_symmetry_equiv_pos_as_xyz
'x,y,z'
loop_
_atom_site_label
_atom_site_type_symbol
_atom_site_fract_x
_atom_site_fract_y
_atom_site_fract_z
Th1 Th 0.191 0.000 0.191
Th2 Th 0.192 0.478 0.286
Th3 Th 0.192 0.906 0.714
Th4 Th 0.228 0.442 0.786
Th5 Th 0.656 0.442 0.214
Th6 Th 0.750 0.059 0.309
Th7 Th 0.750 0.441 0.691
Th8 Th 0.809 0.000 0.809
Ge1 Ge 0.454 0.954 0.500
Ge2 Ge 0.704 0.704 0.000
C1 C 0.233 0.233 0.000
C2 C 0.983 0.483 0.500
```

Entry 8:
The following is a DFT calculation (PBE) of a geometry-optimized Th2GeC structure.

Results
Calculated density ... 9.6 g cm⁻³
Total energy ... -29.28 eV/cell
Calculated formation energy ... -0.6 eV/f.u.
Density of states at the Fermi level ... 1.12 states/eV per cell

The structure in CIF format:
```
data_Th2GeC
_symmetry_space_group_name_H-M 'P 1'
_symmetry_Int_Tables_number 1
_cell_length_a 4.112
_cell_length_b 6.185
_cell_length_c 6.185
_cell_angle_alpha 36.98
_cell_angle_beta 90.00
_cell_angle_gamma 90.00
loop_
_symmetry_equiv_pos_as_xyz
'x,y,z'
loop_
_atom_site_label
_atom_site_type_symbol
_atom_site_fract_x
_atom_site_fract_y
_atom_site_fract_z
Th1 Th 0.000 0.000 0.000
Th2 Th 0.500 0.274 0.274
Ge1 Ge 0.500 0.558 0.558
C1 C 0.000 0.804 0.804
```

Entry 9:
The following is a DFT calculation (PBE) of a geometry-optimized Th4GeC2 structure.

Results
Calculated density ... 10.6 g cm⁻³
Total energy ... -111.28 eV/cell
Calculated formation energy ... -2.9 eV/f.u.
Density of states at the Fermi level ... 7.13 states/eV per cell

The structure in CIF format:
```
data_Th4GeC2
_symmetry_space_group_name_H-M 'P 1'
_symmetry_Int_Tables_number 1
_cell_length_a 6.649
_cell_length_b 6.649
_cell_length_c 12.894
_cell_angle_alpha 90.00
_cell_angle_beta 90.00
_cell_angle_gamma 145.53
loop_
_symmetry_equiv_pos_as_xyz
'x,y,z'
loop_
_atom_site_label
_atom_site_type_symbol
_atom_site_fract_x
_atom_site_fract_y
_atom_site_fract_z
Th1 Th 0.000 0.000 0.000
Th2 Th 0.000 0.000 0.500
Th3 Th 0.271 0.729 0.611
Th4 Th 0.271 0.729 0.889
Th5 Th 0.425 0.575 0.250
Th6 Th 0.575 0.425 0.750
Th7 Th 0.729 0.271 0.111
Th8 Th 0.729 0.271 0.389
Ge1 Ge 0.100 0.900 0.250
Ge2 Ge 0.900 0.100 0.750
C1 C 0.359 0.641 0.061
C2 C 0.359 0.641 0.439
C3 C 0.641 0.359 0.561
C4 C 0.641 0.359 0.939
```

Entry 10:
The following is a DFT calculation (PBE) of a geometry-optimized Th4Ge2C structure.

Results
Calculated density ... 9.7 g cm⁻³
Total energy ... -50.71 eV/cell
Calculated formation energy ... -2.6 eV/f.u.
Polymorph energy (0 for the lowest one) ... 11.8 meV per atom
Density of states at the Fermi level ... 7.13 states/eV per cell

The structure in CIF format:
```
data_Th4Ge2C
_symmetry_space_group_name_H-M 'P 1'
_symmetry_Int_Tables_number 1
_cell_length_a 8.590
_cell_length_b 8.590
_cell_length_c 8.590
_cell_angle_alpha 147.06
_cell_angle_beta 147.06
_cell_angle_gamma 47.28
loop_
_symmetry_equiv_pos_as_xyz
'x,y,z'
loop_
_atom_site_label
_atom_site_type_symbol
_atom_site_fract_x
_atom_site_fract_y
_atom_site_fract_z
Th1 Th 0.000 0.500 0.500
Th2 Th 0.168 0.168 0.000
Th3 Th 0.500 0.000 0.500
Th4 Th 0.832 0.832 0.000
Ge1 Ge 0.363 0.363 0.000
Ge2 Ge 0.637 0.637 0.000
C1 C 0.000 0.000 0.000
```

Entry 11:
The following is a DFT calculation (PBE) of a geometry-optimized Th8GeC6 structure.

Results
Calculated density ... 9.4 g cm⁻³
Total energy ... -120.30 eV/cell
Calculated formation energy ... -1.0 eV/f.u.
Density of states at the Fermi level ... 10.99 states/eV per cell

The structure in CIF format:
```
data_Th8GeC6
_symmetry_space_group_name_H-M 'P 1'
_symmetry_Int_Tables_number 1
_cell_length_a 7.071
_cell_length_b 7.071
_cell_length_c 7.071
_cell_angle_alpha 91.32
_cell_angle_beta 91.32
_cell_angle_gamma 91.32
loop_
_symmetry_equiv_pos_as_xyz
'x,y,z'
loop_
_atom_site_label
_atom_site_type_symbol
_atom_site_fract_x
_atom_site_fract_y
_atom_site_fract_z
Th1 Th 0.112 0.357 0.788
Th2 Th 0.212 0.888 0.643
Th3 Th 0.234 0.234 0.234
Th4 Th 0.357 0.788 0.112
Th5 Th 0.643 0.212 0.888
Th6 Th 0.766 0.766 0.766
Th7 Th 0.788 0.112 0.357
Th8 Th 0.888 0.643 0.212
Ge1 Ge 0.500 0.500 0.500
C1 C 0.077 0.683 0.893
C2 C 0.107 0.923 0.317
C3 C 0.317 0.107 0.923
C4 C 0.683 0.893 0.077
C5 C 0.893 0.077 0.683
C6 C 0.923 0.317 0.107
```

Entry 12:
The following is a DFT calculation (PBE) of a geometry-optimized Ti3GeC2 structure.

Results
Calculated density ... 5.2 g cm⁻³
Total energy ... -99.97 eV/cell
Calculated formation energy ... -3.2 eV/f.u.
Density of states at the Fermi level ... 6.43 states/eV per cell

The structure in CIF format:
```
data_Ti3GeC2
_symmetry_space_group_name_H-M 'P 1'
_symmetry_Int_Tables_number 1
_cell_length_a 3.079
_cell_length_b 9.875
_cell_length_c 5.003
_cell_angle_alpha 90.00
_cell_angle_beta 90.00
_cell_angle_gamma 90.00
loop_
_symmetry_equiv_pos_as_xyz
'x,y,z'
loop_
_atom_site_label
_atom_site_type_symbol
_atom_site_fract_x
_atom_site_fract_y
_atom_site_fract_z
Ti1 Ti 0.000 0.084 0.000
Ti2 Ti 0.000 0.916 0.500
Ti3 Ti 0.500 0.172 0.528
Ti4 Ti 0.500 0.368 0.980
Ti5 Ti 0.500 0.632 0.480
Ti6 Ti 0.500 0.828 0.028
Ge1 Ge 0.000 0.405 0.452
Ge2 Ge 0.000 0.595 0.952
C1 C 0.000 0.269 0.764
C2 C 0.000 0.731 0.264
C3 C 0.500 0.005 0.260
C4 C 0.500 0.995 0.760
```